Record 1
Cs2BiHRu: relaxed, PBEsol.

a = 5.996 Å, b = 5.996 Å, c = 5.087 Å
α = 90.00°, β = 90.00°, γ = 90.00°
Fractional coordinates of all 5 atoms:
Cs 0.000 0.500 0.000
Cs 0.500 0.000 0.000
Bi 0.000 0.000 0.500
H 0.500 0.500 0.500
Ru 0.000 0.000 0.000

The total energy is -16.3 eV for the cell shown.

***

Record 2
Cs2SrBiH: relaxed, PBEsol.

a = 7.646 Å, b = 7.646 Å, c = 4.374 Å
α = 90.00°, β = 90.00°, γ = 90.00°
Fractional coordinates of all 5 atoms:
Cs 0.000 0.500 0.000
Cs 0.500 0.000 0.000
Sr 0.000 0.000 0.500
Bi 0.500 0.500 0.000
H 0.500 0.500 0.500

The total energy is -10.1 eV for the cell shown.

***

Record 3
Cs2HfSiBi: relaxed, PBEsol.

a = 6.602 Å, b = 6.602 Å, c = 5.049 Å
α = 90.00°, β = 90.00°, γ = 90.00°
Fractional coordinates of all 5 atoms:
Cs 0.000 0.500 0.000
Cs 0.500 0.000 0.000
Hf 0.000 0.000 0.500
Si 0.000 0.000 0.000
Bi 0.500 0.500 0.500

The total energy is -18.5 eV for the cell shown. For the energy relative to the elements, uncorrected, the calculation gives 3.92 eV per formula unit.

***

Record 4
Cs2Hg2Bi: relaxed, PBEsol.

a = 7.174 Å, b = 7.174 Å, c = 8.772 Å
α = 90.00°, β = 90.00°, γ = 90.00°
Fractional coordinates of all 10 atoms:
Cs 0.000 0.500 0.250
Cs 0.000 0.500 0.750
Cs 0.500 0.000 0.250
Cs 0.500 0.000 0.750
Hg 0.000 0.000 0.164
Hg 0.000 0.000 0.836
Hg 0.500 0.500 0.336
Hg 0.500 0.500 0.664
Bi 0.000 0.000 0.500
Bi 0.500 0.500 0.000

Its energy above the lowest structure with this stoichiometry is 1.02 kcal/mol of atoms. The total energy is -16.9 eV for the cell shown. For the formation energy from the elements, the calculation gives -0.228 eV per atom.

***

Record 5
Cs2HgBi2: relaxed, PBEsol.

a = 7.948 Å, b = 7.948 Å, c = 6.325 Å
α = 90.00°, β = 90.00°, γ = 90.00°
Fractional coordinates of all 10 atoms:
Cs 0.166 0.334 0.000
Cs 0.334 0.834 0.000
Cs 0.666 0.166 0.000
Cs 0.834 0.666 0.000
Hg 0.000 0.000 0.500
Hg 0.500 0.500 0.500
Bi 0.139 0.639 0.500
Bi 0.361 0.139 0.500
Bi 0.639 0.861 0.500
Bi 0.861 0.361 0.500

The total energy is -25.0 eV for the cell shown. For the formation energy from the elements, the calculation gives -0.291 eV per atom.

***

Record 6
CsHg3Bi: relaxed, PBEsol.

a = 6.491 Å, b = 6.491 Å, c = 6.491 Å
α = 90.00°, β = 90.00°, γ = 90.00°
Fractional coordinates of all 5 atoms:
Cs 0.000 0.000 0.000
Hg 0.000 0.000 0.500
Hg 0.000 0.500 0.000
Hg 0.500 0.000 0.000
Bi 0.500 0.500 0.500

The total energy is -3.7 eV for the cell shown. For the formation energy from the elements, the calculation gives 0.650 eV per atom.

***

Record 7
CsHg2Bi: relaxed, PBEsol.

a = 5.801 Å, b = 5.801 Å, c = 20.842 Å
α = 90.00°, β = 90.00°, γ = 90.00°
Fractional coordinates of all 16 atoms:
Cs 0.000 0.250 0.375
Cs 0.000 0.750 0.625
Cs 0.500 0.250 0.125
Cs 0.500 0.750 0.875
Hg 0.000 0.000 0.000
Hg 0.000 0.500 0.000
Hg 0.250 0.250 0.750
Hg 0.250 0.750 0.250
Hg 0.500 0.000 0.500
Hg 0.500 0.500 0.500
Hg 0.750 0.250 0.750
Hg 0.750 0.750 0.250
Bi 0.000 0.250 0.875
Bi 0.000 0.750 0.125
Bi 0.500 0.250 0.625
Bi 0.500 0.750 0.375

The total energy is -27.5 eV for the cell shown. For the formation energy from the elements, the calculation gives -0.129 eV per atom.

***

Record 8
Cs2Hg2Bi: relaxed, PBEsol.

a = 8.137 Å, b = 8.137 Å, c = 5.715 Å
α = 90.00°, β = 90.00°, γ = 90.00°
Fractional coordinates of all 10 atoms:
Cs 0.177 0.323 0.000
Cs 0.323 0.823 0.000
Cs 0.677 0.177 0.000
Cs 0.823 0.677 0.000
Hg 0.131 0.631 0.500
Hg 0.369 0.131 0.500
Hg 0.631 0.869 0.500
Hg 0.869 0.369 0.500
Bi 0.000 0.000 0.500
Bi 0.500 0.500 0.500

Its energy above the lowest structure with this stoichiometry is 0.00 kcal/mol of atoms. The total energy is -17.3 eV for the cell shown. For the formation energy from the elements, the calculation gives -0.272 eV per atom.

***

Record 9
Cs3BiI6: relaxed, PBEsol.

a = 9.249 Å, b = 9.249 Å, c = 9.249 Å
α = 60.00°, β = 60.00°, γ = 60.00°
Fractional coordinates of all 10 atoms:
Cs 0.000 0.000 0.000
Cs 0.250 0.250 0.250
Cs 0.750 0.750 0.750
Bi 0.500 0.500 0.500
I 0.268 0.268 0.732
I 0.268 0.732 0.268
I 0.268 0.732 0.732
I 0.732 0.268 0.268
I 0.732 0.268 0.732
I 0.732 0.732 0.268

The total energy is -28.1 eV for the cell shown. For the energy relative to the elements, uncorrected, the calculation gives -10.40 eV per formula unit.

***

Record 10
CsBi2I: relaxed, PBEsol.

a = 4.953 Å, b = 4.953 Å, c = 29.200 Å
α = 90.00°, β = 90.00°, γ = 90.00°
Fractional coordinates of all 16 atoms:
Cs 0.000 0.000 0.000
Cs 0.000 0.500 0.250
Cs 0.500 0.000 0.750
Cs 0.500 0.500 0.500
Bi 0.175 0.750 0.625
Bi 0.250 0.175 0.375
Bi 0.250 0.325 0.875
Bi 0.325 0.750 0.125
Bi 0.675 0.250 0.125
Bi 0.750 0.675 0.875
Bi 0.750 0.825 0.375
Bi 0.825 0.250 0.625
I 0.000 0.000 0.500
I 0.000 0.500 0.750
I 0.500 0.000 0.250
I 0.500 0.500 0.000

Its energy above the lowest structure with this stoichiometry is 0.00 kcal/mol of atoms. The total energy is -49.8 eV for the cell shown. For the energy relative to the elements, uncorrected, the calculation gives -1.16 eV per formula unit.

***

Record 11
CsBi2I: relaxed, PBEsol.

a = 8.332 Å, b = 8.332 Å, c = 8.332 Å
α = 90.00°, β = 90.00°, γ = 90.00°
Fractional coordinates of all 16 atoms:
Cs 0.000 0.000 0.000
Cs 0.000 0.500 0.500
Cs 0.500 0.000 0.500
Cs 0.500 0.500 0.000
Bi 0.250 0.250 0.250
Bi 0.250 0.250 0.750
Bi 0.250 0.750 0.250
Bi 0.250 0.750 0.750
Bi 0.750 0.250 0.250
Bi 0.750 0.250 0.750
Bi 0.750 0.750 0.250
Bi 0.750 0.750 0.750
I 0.000 0.000 0.500
I 0.000 0.500 0.000
I 0.500 0.000 0.000
I 0.500 0.500 0.500

Its energy above the lowest structure with this stoichiometry is 12.10 kcal/mol of atoms. The total energy is -41.4 eV for the cell shown. For the energy relative to the elements, uncorrected, the calculation gives 0.93 eV per formula unit.

***

Record 12
Cs2InBiI6: relaxed, PBEsol.

a = 8.734 Å, b = 8.734 Å, c = 8.734 Å
α = 60.00°, β = 60.00°, γ = 60.00°
Fractional coordinates of all 10 atoms:
Cs 0.250 0.250 0.250
Cs 0.750 0.750 0.750
In 0.000 0.000 0.000
Bi 0.500 0.500 0.500
I 0.253 0.253 0.747
I 0.253 0.747 0.253
I 0.253 0.747 0.747
I 0.747 0.253 0.253
I 0.747 0.253 0.747
I 0.747 0.747 0.253

The total energy is -28.7 eV for the cell shown. For the energy relative to the elements, uncorrected, the calculation gives -8.92 eV per formula unit.